# InPb

An optimized crystal structure of InPb (PBE-GGA, the Alexandria database).

Cell and atoms, written as POSCAR:
```
InPb
1.0
0.000 3.919 3.919
3.919 0.000 3.919
3.919 3.919 0.000
In Pb
2 2
Cartesian
0.980 0.980 0.980 In
6.859 6.859 6.859 In
2.940 2.940 2.940 Pb
4.899 4.899 4.899 Pb
```

Properties
Magnetic moment: 0.0 μB per cell
Symmetry: Fd-3m (227)
Crystal system: cubic
Energy of formation from the pure elements: 0.065 eV per atom